A relaxed structure of LaSnHg. Source: Alexandria, functional PBE.

Results
Space group: I4mm
M_tot: 0.00 μB per formula unit
Total DFT energy (no corrections): -2.89 eV/atom
Energy relative to the elements: 0.185 eV per atom

Cell lengths 9.2829, 9.2829, 9.2829 Å; angles 160.01, 160.01, 28.41 degrees
Element x y z (fractional)
La 0.0000 0.0000 0.0000
Sn 0.1825 0.1825 0.0000
Hg 0.8234 0.8234 0.0000